1.
The following is a DFT calculation (PBE-GGA) of a relaxed Tb4NdDy2Ho crystal.

Computed properties:
space group: Imma (74)
E_form: 0.429 eV per atom

Unit cell a=9.5007 b=9.5007 c=9.5007 alpha=138.00 beta=103.34 gamma=91.49
Sites, in units of the cell vectors:
Tb: 0.2490 0.2485 0.0005
Tb: 0.2506 0.2490 0.4984
Tb: 0.2506 0.7522 0.0016
Tb: 0.2520 0.7515 0.5005
Tb: 0.7480 0.2485 0.4995
Tb: 0.7494 0.2478 0.9984
Tb: 0.7494 0.7510 0.5016
Tb: 0.7510 0.7515 0.9995
Nd: 0.0000 0.5000 0.5000
Nd: 0.5000 0.5000 0.0000
Dy: 0.0000 0.0000 0.0000
Dy: 0.0000 0.0000 0.5000
Dy: 0.0000 0.5000 0.0000
Dy: 0.5000 0.0000 0.5000
Ho: 0.5000 0.0000 0.0000
Ho: 0.5000 0.5000 0.5000

---

2.
The following is a DFT calculation (PBE-GGA) of a relaxed Tb6Nd2DyHo3 crystal.

Computed properties:
space group: C2/m (12)
E_form: 0.016 eV per atom

Unit cell a=6.1804 b=6.1804 c=11.8317 alpha=94.97 beta=94.97 gamma=119.97
Sites, in units of the cell vectors:
Tb: 0.0847 0.4173 0.7530
Tb: 0.2478 0.2478 0.2468
Tb: 0.4173 0.0847 0.7530
Tb: 0.5827 0.9153 0.2470
Tb: 0.7522 0.7522 0.7532
Tb: 0.9153 0.5827 0.2470
Nd: 0.3334 0.6666 0.5000
Nd: 0.6666 0.3334 0.5000
Dy: 0.0000 0.0000 0.5000
Ho: 0.1665 0.8335 0.0000
Ho: 0.5000 0.5000 0.0000
Ho: 0.8335 0.1665 0.0000

---

3.
The following is a DFT calculation (PBE-GGA) of a relaxed Tb2NdDy2Ho2 crystal.

Computed properties:
space group: R-3m (166)
E_form: 0.142 eV per atom

Unit cell a=8.7523 b=8.7523 c=8.7523 alpha=37.83 beta=37.83 gamma=37.83
Sites, in units of the cell vectors:
Tb: 0.1400 0.1400 0.1400
Tb: 0.8600 0.8600 0.8600
Nd: 0.0000 0.0000 0.0000
Dy: 0.2787 0.2787 0.2787
Dy: 0.7213 0.7213 0.7213
Ho: 0.4255 0.4255 0.4255
Ho: 0.5745 0.5745 0.5745

---

4.
The following is a DFT calculation (PBE-GGA) of a relaxed TbNd2Dy2Ho2 crystal.

Computed properties:
space group: C2/m (12)
E_form: 0.085 eV per atom

Unit cell a=6.1313 b=6.1313 c=11.8351 alpha=108.28 beta=108.28 gamma=33.38
Sites, in units of the cell vectors:
Tb: 0.0000 0.0000 0.0000
Nd: 0.3283 0.3283 0.4150
Nd: 0.6717 0.6717 0.5850
Dy: 0.2260 0.2260 0.8637
Dy: 0.7740 0.7740 0.1363
Ho: 0.4498 0.4498 0.7303
Ho: 0.5502 0.5502 0.2697

---

5.
The following is a DFT calculation (PBE-GGA) of a relaxed TbNdDyHo2 crystal.

Computed properties:
space group: Cmcm (63)
E_form: 0.383 eV per atom

Unit cell a=7.1127 b=7.1127 c=7.1851 alpha=90.00 beta=90.00 gamma=107.66
Sites, in units of the cell vectors:
Tb: 0.0027 0.9973 0.7500
Tb: 0.9973 0.0027 0.2500
Nd: 0.2730 0.7270 0.7500
Nd: 0.7270 0.2730 0.2500
Dy: 0.2758 0.7242 0.2500
Dy: 0.7242 0.2758 0.7500
Ho: 0.3108 0.3108 0.0000
Ho: 0.3108 0.3108 0.5000
Ho: 0.6892 0.6892 0.0000
Ho: 0.6892 0.6892 0.5000

---

6.
The following is a DFT calculation (PBE-GGA) of a relaxed Tb2Nd4DyHo crystal.

Computed properties:
space group: P2/m (10)
E_form: 0.015 eV per atom

Unit cell a=5.1182 b=5.1465 c=10.1221 alpha=90.00 beta=90.07 gamma=90.00
Sites, in units of the cell vectors:
Tb: 0.0000 0.0000 0.0000
Tb: 0.5000 0.5000 0.5000
Nd: 0.9997 0.5000 0.2496
Nd: 0.0003 0.5000 0.7504
Nd: 0.4998 0.0000 0.2499
Nd: 0.5002 0.0000 0.7501
Dy: 0.0000 0.0000 0.5000
Ho: 0.5000 0.5000 0.0000

---

7.
The following is a DFT calculation (PBE-GGA) of a relaxed Tb2Nd2DyHo2 crystal.

Computed properties:
space group: C2/m (12)
E_form: 0.122 eV per atom

Unit cell a=5.5977 b=5.5977 c=9.1411 alpha=113.22 beta=113.22 gamma=64.32
Sites, in units of the cell vectors:
Tb: 0.0702 0.0702 0.2210
Tb: 0.9298 0.9298 0.7790
Nd: 0.3560 0.3560 0.0767
Nd: 0.6440 0.6440 0.9233
Dy: 0.5000 0.5000 0.5000
Ho: 0.2159 0.2159 0.6437
Ho: 0.7841 0.7841 0.3563

---

8.
The following is a DFT calculation (PBE-GGA) of a relaxed TbNdDy6Ho2 crystal.

Computed properties:
space group: C2/c (15)
E_form: 0.121 eV per atom

Unit cell a=8.7759 b=8.7759 c=9.5287 alpha=93.62 beta=93.62 gamma=117.65
Sites, in units of the cell vectors:
Tb: 0.0908 0.9092 0.7500
Tb: 0.9092 0.0908 0.2500
Nd: 0.4738 0.5262 0.2500
Nd: 0.5262 0.4738 0.7500
Dy: 0.0096 0.7922 0.3814
Dy: 0.0657 0.5183 0.1825
Dy: 0.2078 0.9904 0.1186
Dy: 0.2506 0.6216 0.5568
Dy: 0.3784 0.7494 0.9432
Dy: 0.4817 0.9343 0.3175
Dy: 0.5183 0.0657 0.6825
Dy: 0.6216 0.2506 0.0568
Dy: 0.7494 0.3784 0.4432
Dy: 0.7922 0.0096 0.8814
Dy: 0.9343 0.4817 0.8175
Dy: 0.9904 0.2078 0.6186
Ho: 0.1973 0.3018 0.9536
Ho: 0.3018 0.1973 0.4536
Ho: 0.6982 0.8027 0.5464
Ho: 0.8027 0.6982 0.0464

---

9.
The following is a DFT calculation (PBE-GGA) of a relaxed TbNd2DyHo crystal.

Computed properties:
space group: Pmma (51)
E_form: 0.264 eV per atom

Unit cell a=6.2346 b=8.1183 c=6.7072 alpha=90.00 beta=90.00 gamma=90.00
Sites, in units of the cell vectors:
Tb: 0.0000 0.0000 0.0000
Tb: 0.5000 0.0000 0.0000
Nd: 0.2500 0.3025 0.3028
Nd: 0.2500 0.6975 0.3028
Nd: 0.7500 0.3025 0.6972
Nd: 0.7500 0.6975 0.6972
Dy: 0.2500 0.0000 0.5834
Dy: 0.7500 0.0000 0.4166
Ho: 0.2500 0.5000 0.8361
Ho: 0.7500 0.5000 0.1639

---

10.
The following is a DFT calculation (PBE-GGA) of a relaxed TbNd2Dy2Ho4 crystal.

Computed properties:
space group: C2/m (12)
E_form: -0.003 eV per atom

Unit cell a=9.5077 b=9.5077 c=9.5580 alpha=115.22 beta=115.22 gamma=21.81
Sites, in units of the cell vectors:
Tb: 0.0000 0.0000 0.0000
Nd: 0.3343 0.3343 0.0004
Nd: 0.6657 0.6657 0.9996
Dy: 0.1471 0.1471 0.6624
Dy: 0.8529 0.8529 0.3376
Ho: 0.1855 0.1855 0.3362
Ho: 0.4807 0.4807 0.6649
Ho: 0.5193 0.5193 0.3351
Ho: 0.8145 0.8145 0.6638

---

11.
The following is a DFT calculation (PBE-GGA) of a relaxed TbNdDy2Ho5 crystal.

Computed properties:
space group: I4/mcm (140)
E_form: 0.289 eV per atom

Unit cell a=9.6626 b=9.6626 c=9.6626 alpha=125.03 beta=125.03 gamma=81.49
Sites, in units of the cell vectors:
Tb: 0.2500 0.7500 0.5000
Tb: 0.7500 0.2500 0.5000
Nd: 0.2500 0.2500 0.0000
Nd: 0.7500 0.7500 0.0000
Dy: 0.1127 0.6127 0.7253
Dy: 0.3873 0.1127 0.5000
Dy: 0.6127 0.8873 0.5000
Dy: 0.8873 0.3873 0.2747
Ho: 0.0000 0.0000 0.0000
Ho: 0.0731 0.1629 0.5000
Ho: 0.1629 0.6629 0.0898
Ho: 0.3371 0.4269 0.5000
Ho: 0.4269 0.9269 0.0898
Ho: 0.5000 0.5000 0.0000
Ho: 0.5731 0.0731 0.9102
Ho: 0.6629 0.5731 0.5000
Ho: 0.8371 0.3371 0.9102
Ho: 0.9269 0.8371 0.5000

---

12.
The following is a DFT calculation (PBE-GGA) of a relaxed TbNdDy4Ho2 crystal.

Computed properties:
space group: C2/c (15)
E_form: 0.434 eV per atom

Unit cell a=9.4850 b=9.4850 c=6.7921 alpha=110.98 beta=110.98 gamma=88.55
Sites, in units of the cell vectors:
Tb: 0.0000 0.0000 0.0000
Tb: 0.0000 0.0000 0.5000
Nd: 0.0000 0.5000 0.0000
Nd: 0.5000 0.0000 0.5000
Dy: 0.2490 0.2530 0.5024
Dy: 0.2514 0.7493 0.5022
Dy: 0.2507 0.7486 0.9978
Dy: 0.2530 0.2490 0.0024
Dy: 0.7470 0.7510 0.9976
Dy: 0.7493 0.2514 0.0022
Dy: 0.7486 0.2507 0.4978
Dy: 0.7510 0.7470 0.4976
Ho: 0.0000 0.5000 0.5000
Ho: 0.5000 0.0000 0.0000
Ho: 0.5000 0.5000 0.0000
Ho: 0.5000 0.5000 0.5000

---

What DOS(E_F) values result from the calculations? In sequence: 35.15; 15.37; 17.43; 11.79; 14.48; 10.66; 14.45; 29.40; 12.88; 12.06; 22.89; 34.55 states/eV per cell.